# ZrMo2Os, optimized geometry, DFT PBE
# Total moment ... 0.000 μB/f.u.
# Calculated formation energy ... -0.091 eV per atom
# Excess energy over the best structure of this formula in the dataset ... 3.26 kJ per mole of atoms
data_ZrMo2Os
_chemical_formula_sum 'Zr1 Mo2 Os1'
_symmetry_space_group_name_H-M 'P m m m'
_symmetry_Int_Tables_number 47
_cell_length_a 3.204
_cell_length_b 4.512
_cell_length_c 4.619
_cell_angle_alpha 90.00
_cell_angle_beta 90.00
_cell_angle_gamma 90.00
loop_
_symmetry_equiv_pos_as_xyz
'x,y,z'
'-x,-y,-z'
'-x,-y,z'
'x,y,-z'
'x,-y,-z'
'-x,y,z'
'-x,y,-z'
'x,-y,z'
loop_
_atom_site_label
_atom_site_type_symbol
_atom_site_fract_x
_atom_site_fract_y
_atom_site_fract_z
Zr1 Zr 0.000 0.000 0.000
Mo1 Mo 0.000 0.500 0.500
Mo2 Mo 0.500 0.000 0.500
Os1 Os 0.500 0.500 0.000

---

# Ba2Sc2Cd15, optimized geometry, DFT PBE
# Total moment ... 0.807 μB/f.u.
# Calculated formation energy ... -0.189 eV per atom
data_Ba2Sc2Cd15
_chemical_formula_sum 'Ba6 Sc6 Cd45'
_symmetry_space_group_name_H-M 'R -3 m'
_symmetry_Int_Tables_number 166
_symmetry_space_group_name_Hall '-R 3 2"'
_cell_length_a 10.3181
_cell_length_b 10.3181
_cell_length_c 15.6547
_cell_angle_alpha 90.00
_cell_angle_beta 90.00
_cell_angle_gamma 120.00
loop_
_atom_site_label
_atom_site_type_symbol
_atom_site_fract_x
_atom_site_fract_y
_atom_site_fract_z
Ba1 Ba 0.0000 0.0000 0.1630
Sc1 Sc 0.0000 0.0000 0.4041
Cd1 Cd 0.0000 0.2861 0.5000
Cd2 Cd 0.0000 0.5000 0.0000
Cd3 Cd 0.0025 0.5013 0.6447

---

# TaBe2Cd, optimized geometry, DFT PBE
# Total moment ... 0.000 μB/f.u.
# Calculated formation energy ... 0.479 eV per atom
data_TaBe2Cd
_chemical_formula_sum 'Ta3 Be6 Cd3'
_symmetry_space_group_name_H-M 'R -3 m'
_symmetry_Int_Tables_number 166
_symmetry_space_group_name_Hall '-R 3 2"'
_cell_length_a 2.8534
_cell_length_b 2.8534
_cell_length_c 25.8334
_cell_angle_alpha 90.00
_cell_angle_beta 90.00
_cell_angle_gamma 120.00
loop_
_atom_site_label
_atom_site_type_symbol
_atom_site_fract_x
_atom_site_fract_y
_atom_site_fract_z
Ta1 Ta 0.0000 0.0000 0.0000
Be1 Be 0.0000 0.0000 0.2530
Cd1 Cd 0.0000 0.0000 0.5000

---

# Sr5NdCd6, optimized geometry, DFT PBE
# Total moment ... 0.000 μB/f.u.
# Calculated formation energy ... -0.325 eV per atom
data_Sr5NdCd6
_chemical_formula_sum 'Sr10 Nd2 Cd12'
_symmetry_space_group_name_H-M 'C m m m'
_symmetry_Int_Tables_number 65
_symmetry_space_group_name_Hall '-C 2 2'
_cell_length_a 5.671
_cell_length_b 17.004
_cell_length_c 8.084
_cell_angle_alpha 90.00
_cell_angle_beta 90.00
_cell_angle_gamma 90.00
loop_
_atom_site_label
_atom_site_type_symbol
_atom_site_fract_x
_atom_site_fract_y
_atom_site_fract_z
Sr1 Sr 0.000 0.000 0.000
Sr2 Sr 0.000 0.332 0.000
Sr3 Sr 0.000 0.333 0.500
Nd1 Nd 0.000 0.000 0.500
Cd1 Cd 0.000 0.161 0.258
Cd2 Cd 0.000 0.500 0.265